An optimized crystal structure of ScGe3Mo, computed with PBEsol.

Unit cell a=4.896 b=4.896 c=4.896 alpha=90.00 beta=90.00 gamma=90.00
Element x y z (fractional)
Sc (0.000, 0.000, 0.000)
Ge (0.000, 0.000, 0.500)
Ge (0.000, 0.500, 0.000)
Ge (0.500, 0.000, 0.000)
Mo (0.500, 0.500, 0.500)

Values from the calculation:
Total magnetization in μB per formula unit: 3.43
Energy relative to the elements in kcal/mol of atoms: 27.8



An optimized crystal structure of TaTlOs, computed with PBEsol.

Unit cell a=4.434 b=4.434 c=4.434 alpha=60.00 beta=60.00 gamma=60.00
Element x y z (fractional)
Ta (0.000, 0.000, 0.000)
Tl (0.250, 0.250, 0.250)
Os (0.750, 0.750, 0.750)

Values from the calculation:
Total magnetization in μB per formula unit: 0.00
Energy relative to the elements in kcal/mol of atoms: 21.4